# Dy2ThS | Alexandria | PBE-GGA | relaxed
# * ΔE_f (raw): -2.79 eV/f.u.
data_Dy2ThS
_space_group_name_H-M_alt 'R -3 m'
_space_group_IT_number 166
_space_group_name_Hall '-R 3 2"'
_cell_length_a 3.6093
_cell_length_b 3.6093
_cell_length_c 30.4931
_cell_angle_alpha 90.00
_cell_angle_beta 90.00
_cell_angle_gamma 120.00
loop_
_atom_site_label
_atom_site_type_symbol
_atom_site_fract_x
_atom_site_fract_y
_atom_site_fract_z
Dy1 Dy 0.0000 0.0000 0.1116
Th1 Th 0.0000 0.0000 0.0000
S1 S 0.0000 0.0000 0.5000

***

# Ag5Pb3 | Alexandria | PBE-GGA | relaxed
# * offset from the most stable computed form: 0.00 eV per formula unit
# * formation energy: 0.94 eV per formula unit
data_Ag5Pb3
_space_group_name_H-M_alt 'C m m m'
_space_group_IT_number 65
_space_group_name_Hall '-C 2 2'
_cell_length_a 8.774
_cell_length_b 9.192
_cell_length_c 4.462
_cell_angle_alpha 90.00
_cell_angle_beta 90.00
_cell_angle_gamma 90.00
loop_
_atom_site_label
_atom_site_type_symbol
_atom_site_fract_x
_atom_site_fract_y
_atom_site_fract_z
Ag1 Ag 0.000 0.000 0.000
Ag2 Ag 0.248 0.500 0.500
Ag3 Ag 0.250 0.250 0.000
Pb1 Pb 0.000 0.229 0.500
Pb2 Pb 0.000 0.500 0.000

***

# TcPbW2 | Alexandria | PBE-GGA | relaxed
# * formation energy: 2.93 eV per formula unit
data_TcPbW2
_space_group_name_H-M_alt 'F -4 3 m'
_space_group_IT_number 216
_space_group_name_Hall 'F -4 2 3'
_cell_length_a 6.517
_cell_length_b 6.517
_cell_length_c 6.517
_cell_angle_alpha 90.00
_cell_angle_beta 90.00
_cell_angle_gamma 90.00
loop_
_atom_site_label
_atom_site_type_symbol
_atom_site_fract_x
_atom_site_fract_y
_atom_site_fract_z
Tc1 Tc 0.000 0.000 0.000
Pb1 Pb 0.250 0.250 0.750
W1 W 0.000 0.000 0.500
W2 W 0.250 0.250 0.250

***

# CdInHg2 | Alexandria | PBE-GGA | relaxed
# * formation energy: 0.06 eV per formula unit
data_CdInHg2
_space_group_name_H-M_alt 'P 1 m 1'
_space_group_IT_number 6
_cell_length_a 3.455
_cell_length_b 5.184
_cell_length_c 6.049
_cell_angle_alpha 90.00
_cell_angle_beta 106.28
_cell_angle_gamma 90.00
loop_
_space_group_symop_operation_xyz
'x,y,z'
'x,-y,z'
loop_
_atom_site_label
_atom_site_type_symbol
_atom_site_fract_x
_atom_site_fract_y
_atom_site_fract_z
Cd1 Cd 0.000 0.000 0.000
In1 In 0.012 0.500 0.497
Hg1 Hg 0.499 0.500 0.998
Hg2 Hg 0.513 0.000 0.498

***

# KBe2Re | Alexandria | PBE-GGA | relaxed
# * offset from the most stable computed form: 0.97 eV per formula unit
# * formation energy: 2.82 eV per formula unit
data_KBe2Re
_space_group_name_H-M_alt 'P 1 m 1'
_space_group_IT_number 6
_cell_length_a 2.597
_cell_length_b 4.011
_cell_length_c 7.395
_cell_angle_alpha 90.00
_cell_angle_beta 91.02
_cell_angle_gamma 90.00
loop_
_space_group_symop_operation_xyz
'x,y,z'
'x,-y,z'
loop_
_atom_site_label
_atom_site_type_symbol
_atom_site_fract_x
_atom_site_fract_y
_atom_site_fract_z
K1 K 0.000 0.000 0.000
Be1 Be 0.461 0.000 0.438
Be2 Be 0.471 0.500 0.638
Re1 Re 0.956 0.500 0.379

***

# TlAs2Ru | Alexandria | PBE-GGA | relaxed
# * offset from the most stable computed form: 2.69 eV per formula unit
# * formation energy: 2.55 eV per formula unit
data_TlAs2Ru
_space_group_name_H-M_alt 'F -4 3 m'
_space_group_IT_number 216
_space_group_name_Hall 'F -4 2 3'
_cell_length_a 6.716
_cell_length_b 6.716
_cell_length_c 6.716
_cell_angle_alpha 90.00
_cell_angle_beta 90.00
_cell_angle_gamma 90.00
loop_
_atom_site_label
_atom_site_type_symbol
_atom_site_fract_x
_atom_site_fract_y
_atom_site_fract_z
Tl1 Tl 0.000 0.000 0.000
As1 As 0.000 0.000 0.500
As2 As 0.250 0.250 0.250
Ru1 Ru 0.250 0.250 0.750

***

# Hf3CoRe | Alexandria | PBE-GGA | relaxed
# * offset from the most stable computed form: 0.00 eV per formula unit
# * formation energy: 2.67 eV per formula unit
data_Hf3CoRe
_space_group_name_H-M_alt 'P m -3 m'
_space_group_IT_number 221
_space_group_name_Hall '-P 4 2 3'
_cell_length_a 4.655
_cell_length_b 4.655
_cell_length_c 4.655
_cell_angle_alpha 90.00
_cell_angle_beta 90.00
_cell_angle_gamma 90.00
loop_
_atom_site_label
_atom_site_type_symbol
_atom_site_fract_x
_atom_site_fract_y
_atom_site_fract_z
Hf1 Hf 0.000 0.000 0.500
Co1 Co 0.000 0.000 0.000
Re1 Re 0.500 0.500 0.500

***

# PuTlBi4 | Alexandria | PBE-GGA | relaxed
# * formation energy: 0.36 eV per formula unit
data_PuTlBi4
_space_group_name_H-M_alt 'F -4 3 m'
_space_group_IT_number 216
_space_group_name_Hall 'F -4 2 3'
_cell_length_a 9.302
_cell_length_b 9.302
_cell_length_c 9.302
_cell_angle_alpha 90.00
_cell_angle_beta 90.00
_cell_angle_gamma 90.00
loop_
_atom_site_label
_atom_site_type_symbol
_atom_site_fract_x
_atom_site_fract_y
_atom_site_fract_z
Pu1 Pu 0.000 0.000 0.000
Tl1 Tl 0.250 0.250 0.750
Bi1 Bi 0.124 0.124 0.376

***

# Ir2PtBr | Alexandria | PBE-GGA | relaxed
# * offset from the most stable computed form: 1.66 eV per formula unit
# * ΔE_f (raw): 3.67 eV/f.u.
data_Ir2PtBr
_space_group_name_H-M_alt 'C 1 2/m 1'
_space_group_IT_number 12
_cell_length_a 5.487
_cell_length_b 9.646
_cell_length_c 2.882
_cell_angle_alpha 90.00
_cell_angle_beta 120.66
_cell_angle_gamma 90.00
loop_
_space_group_symop_operation_xyz
'x,y,z'
'-x,-y,-z'
'-x,y,-z'
'x,-y,z'
'x+1/2,y+1/2,z'
'-x+1/2,-y+1/2,-z'
'-x+1/2,y+1/2,-z'
'x+1/2,-y+1/2,z'
loop_
_atom_site_label
_atom_site_type_symbol
_atom_site_fract_x
_atom_site_fract_y
_atom_site_fract_z
Ir1 Ir 0.250 0.250 0.000
Pt1 Pt 0.000 0.000 0.000
Br1 Br 0.000 0.500 0.000

***

no.,total magnetic moment (Bohr magnetons per cell)
1,0.000
2,0.000
3,0.000
4,0.000
5,0.000
6,0.025
7,0.000
8,23.473
9,0.000